Here is crystalline RbAsH2IrSe at its relaxed geometry from the Alexandria database. Energies are from PBE.

a = 3.985 Å, b = 5.500 Å, c = 5.940 Å
α = 95.24°, β = 93.67°, γ = 93.68°
Positions (direct):
Ir 0.741 0.463 0.791
Se 0.236 0.396 0.039
Rb 0.726 0.953 0.253
As 0.197 0.553 0.551
H 0.475 0.299 0.594
H 0.642 0.737 0.759

Calculated values
Its energy is -25.67 eV for the cell shown. The symmetry is No. 1. The calculation puts the energy above the most stable polymorph in this dataset at 113 meV per atom.